4
Lattice="4.689 -0.001 0.011 3.906 2.595 0.011 0.779 0.235 4.659" Properties=species:S:1:pos:R:3 comment="CrRe2Ir, relaxed, DFT GGA-PBE" mass_density_g_cm3=18.06 m_tot_mub_per_fu=0.000 polymorph_energy_mev_per_atom=42 formation_energy_ev_per_atom=-0.01 pbc="T T T"
Cr 4.690 1.415 2.325
Ir 2.333 0.704 1.209
Re 8.582 2.589 0.029
Re 7.052 2.127 3.482

=====

4
Lattice="4.998 -0.003 0.001 2.323 4.425 -0.001 -3.159 -3.042 2.398" Properties=species:S:1:pos:R:3 comment="Cr2ReIr, relaxed, DFT GGA-PBE" mass_density_g_cm3=15.11 m_tot_mub_per_fu=0.000 formation_energy_ev_per_atom=0.04 pbc="T T T"
Cr 7.166 4.328 0.000
Cr 2.912 -0.319 1.199
Ir 3.757 2.269 0.000
Re 1.309 1.734 1.198

=====

4
Lattice="-5.857 4.367 4.844 -7.497 2.519 3.779 -6.087 1.948 5.999" Properties=species:S:1:pos:R:3 comment="Cr2ReIr, relaxed, DFT GGA-PBE" mass_density_g_cm3=14.81 m_tot_mub_per_fu=0.005 formation_energy_ev_per_atom=0.12 pbc="T T T"
Cr -19.418 8.823 14.604
Cr -9.745 4.428 7.329
Ir -4.860 2.208 3.656
Re -14.581 6.625 10.967

=====

4
Lattice="2.827 0.000 0.000 0.000 2.827 0.000 0.000 0.000 6.616" Properties=species:S:1:pos:R:3 comment="Cr2ReIr, relaxed, DFT GGA-PBE" mass_density_g_cm3=15.15 m_tot_mub_per_fu=0.062 formation_energy_ev_per_atom=0.03 pbc="T T T"
Cr 0.000 0.000 0.202
Cr 1.413 1.413 1.430
Ir 0.000 0.000 3.184
Re 1.413 1.413 5.108

=====

The evaluated V for the records listed, in turn: 14.17 13.26 13.52 13.22 A^3/atom.
The evaluated N(E_F) for the records listed, in turn: 3.97 3.77 7.14 5.17 states/eV/f.u..